(1)
Density functional theory data (PBE) for a relaxed structure of RbSbAs.

Geometry as extended XYZ:
```
3
Lattice="-4.169 0.213 -1.817 3.052 -2.951 -1.644 -1.964 -4.264 4.007" Properties=species:S:1:pos:R:3 pbc="T T T"
Sb -2.606 -2.675 -0.037
As -0.514 -4.413 0.663
Rb -1.925 -4.178 3.927
```

Values from the calculation:
Its space group is No. 156. The calculation puts the polymorph energy (0 for the lowest one) at 1.024 kcal/mol of atoms. For the raw formation energy, the calculation gives -0.221 eV/atom. The total moment is 0.00 μB per cell.

---

(2)
Density functional theory data (PBE) for a relaxed structure of Rb2SbAsSe4.

Geometry as extended XYZ:
```
16
Lattice="8.791 0.002 -0.143 -0.004 8.791 -0.143 -4.395 -4.399 6.360" Properties=species:S:1:pos:R:3 pbc="T T T"
Rb 4.396 0.001 -0.071
Rb 2.194 6.593 2.966
Rb -2.198 -2.199 3.180
Rb 4.393 4.397 -0.143
Sb -4.398 -0.003 6.288
Sb -2.200 2.196 3.109
As 2.196 2.197 3.037
As 4.391 4.395 6.074
Se -2.536 2.283 6.046
Se 4.307 0.335 3.208
Se 0.085 4.059 2.866
Se 6.928 2.112 0.028
Se 2.511 2.279 5.857
Se 4.310 4.080 3.255
Se 0.082 0.315 2.820
Se 1.881 2.115 0.217
```

Values from the calculation:
Its space group is No. 74. For the raw formation energy, the calculation gives -0.529 eV/atom. The total moment is 0.00 μB per cell.

---

(3)
Density functional theory data (PBE) for a relaxed structure of RbSbAs2Se.

Geometry as extended XYZ:
```
5
Lattice="-3.398 3.792 2.176 1.259 -1.791 5.086 4.262 3.682 0.241" Properties=species:S:1:pos:R:3 pbc="T T T"
Sb 1.062 2.841 3.752
As 0.630 -0.895 2.543
As -1.699 1.896 1.088
Se 2.131 1.841 0.120
Rb 0.000 0.000 0.000
```

Values from the calculation:
Its space group is No. 123. The calculation puts the polymorph energy (0 for the lowest one) at 30.351 kcal/mol of atoms. For the raw formation energy, the calculation gives 1.525 eV/atom. The total moment is 0.00 μB per cell.

---

(4)
Density functional theory data (PBE) for a relaxed structure of RbSbAs2Se.

Geometry as extended XYZ:
```
5
Lattice="-3.554 -3.759 1.633 -1.614 -0.704 -5.131 3.918 -4.001 -0.683" Properties=species:S:1:pos:R:3 pbc="T T T"
Sb 0.000 0.000 0.000
As -0.807 -0.352 -2.565
As -1.777 -1.879 0.817
Se 1.959 -2.001 -0.342
Rb -0.625 -4.232 -2.091
```

Values from the calculation:
Its space group is No. 123. The calculation puts the polymorph energy (0 for the lowest one) at 0.000 kcal/mol of atoms. For the raw formation energy, the calculation gives 0.209 eV/atom. The total moment is 1.65 μB per cell.

---

(5)
Density functional theory data (PBE) for a relaxed structure of RbSn2SbAs.

Geometry as extended XYZ:
```
10
Lattice="-2.230 -3.385 1.623 6.495 -2.201 4.334 -6.741 7.227 5.812" Properties=species:S:1:pos:R:3 pbc="T T T"
Rb 4.253 -1.476 5.702
Rb -6.729 3.117 6.066
Sn -2.396 0.887 7.368
Sn -0.080 0.754 4.400
Sn 0.964 -2.770 4.358
Sn -3.440 4.411 7.410
Sb -2.506 2.646 5.013
Sb 0.030 -1.005 6.755
As 1.016 -1.015 2.217
As -3.492 2.656 9.551
```

Values from the calculation:
Its space group is No. 11. For the raw formation energy, the calculation gives -0.185 eV/atom. The total moment is 0.00 μB per cell.

---

(6)
Density functional theory data (PBE) for a relaxed structure of RbSb2TeAs.

Geometry as extended XYZ:
```
5
Lattice="5.516 0.000 0.000 0.000 5.516 0.000 0.000 0.000 5.833" Properties=species:S:1:pos:R:3 pbc="T T T"
Sb 0.000 2.758 0.000
Sb 2.758 0.000 0.000
As 0.000 0.000 0.000
Te 0.000 0.000 2.917
Rb 2.758 2.758 2.917
```

Values from the calculation:
Its space group is No. 123. The calculation puts the polymorph energy (0 for the lowest one) at 0.000 kcal/mol of atoms. For the raw formation energy, the calculation gives 0.159 eV/atom. The total moment is 1.08 μB per cell.

---

(7)
Density functional theory data (PBE) for a relaxed structure of RbSb2TeAs.

Geometry as extended XYZ:
```
5
Lattice="6.320 0.000 0.000 0.000 6.320 0.000 0.000 0.000 6.152" Properties=species:S:1:pos:R:3 pbc="T T T"
Sb 0.000 3.160 0.000
Sb 3.160 0.000 0.000
As 3.160 3.160 3.076
Te 0.000 0.000 3.076
Rb 0.000 0.000 0.000
```

Values from the calculation:
Its space group is No. 123. The calculation puts the polymorph energy (0 for the lowest one) at 33.278 kcal/mol of atoms. For the raw formation energy, the calculation gives 1.602 eV/atom. The total moment is 1.07 μB per cell.

---

(8)
Density functional theory data (PBE) for a relaxed structure of RbZn2SbAs.

Geometry as extended XYZ:
```
10
Lattice="-2.609 2.974 -0.860 -6.414 -4.509 3.871 3.286 4.674 6.194" Properties=species:S:1:pos:R:3 pbc="T T T"
Rb -6.058 -2.539 4.839
Rb 0.321 5.678 4.366
Zn -3.196 2.877 5.354
Zn -2.541 0.262 3.851
Zn -4.739 0.548 1.978
Zn -0.999 2.591 7.228
Sb -0.663 2.098 4.501
Sb -5.074 1.042 4.704
As -2.398 -0.322 1.399
As -3.339 3.461 7.807
```

Values from the calculation:
Its space group is No. 11. For the raw formation energy, the calculation gives -0.258 eV/atom. The total moment is 0.00 μB per cell.

---

Please write out number 3 again, unchanged.
Density functional theory data (PBE) for a relaxed structure of RbSbAs2Se.

Geometry as extended XYZ:
```
5
Lattice="-3.398 3.792 2.176 1.259 -1.791 5.086 4.262 3.682 0.241" Properties=species:S:1:pos:R:3 pbc="T T T"
Sb 1.062 2.841 3.752
As 0.630 -0.895 2.543
As -1.699 1.896 1.088
Se 2.131 1.841 0.120
Rb 0.000 0.000 0.000
```

Values from the calculation:
Its space group is No. 123. The calculation puts the polymorph energy (0 for the lowest one) at 30.351 kcal/mol of atoms. For the raw formation energy, the calculation gives 1.525 eV/atom. The total moment is 0.00 μB per cell.

---

Question: The lowest raw formation energy belongs to which entry?
Answer: Rb2SbAsSe4